# Ce2ThZr | the Alexandria database | PBE-GGA | relaxed
# Mass density (g/cm³): 9.09
# Energy of formation from the pure elements (eV per atom): 0.276
# Total DFT energy (no corrections) (eV/atom): -6.6829
# DOS at the Fermi energy (states/eV per atom): 3.00
data_Ce2ThZr
_cell_length_a 7.611
_cell_length_b 7.611
_cell_length_c 7.611
_cell_angle_alpha 90.00
_cell_angle_beta 90.00
_cell_angle_gamma 90.00
_symmetry_space_group_name_H-M 'F m -3 m'
_symmetry_Int_Tables_number 225
_symmetry_space_group_name_Hall '-F 4 2 3'
loop_
_atom_site_label
_atom_site_type_symbol
_atom_site_fract_x
_atom_site_fract_y
_atom_site_fract_z
Ce1 Ce 0.250 0.250 0.250
Th1 Th 0.000 0.000 0.000
Zr1 Zr 0.000 0.000 0.500

***

# Ce2ThZr | the Alexandria database | PBE-GGA | relaxed
# Mass density (g/cm³): 9.06
# Energy of formation from the pure elements (eV per atom): 0.076
# Total DFT energy (no corrections) (eV/atom): -6.8831
# DOS at the Fermi energy (states/eV per atom): 1.86
data_Ce2ThZr
_cell_length_a 3.397
_cell_length_b 3.397
_cell_length_c 9.587
_cell_angle_alpha 90.00
_cell_angle_beta 90.00
_cell_angle_gamma 90.00
_symmetry_space_group_name_H-M 'P 4/m m m'
_symmetry_Int_Tables_number 123
_symmetry_space_group_name_Hall '-P 4 2'
loop_
_atom_site_label
_atom_site_type_symbol
_atom_site_fract_x
_atom_site_fract_y
_atom_site_fract_z
Ce1 Ce 0.000 0.000 0.244
Th1 Th 0.500 0.500 0.500
Zr1 Zr 0.500 0.500 0.000

***

# Ce3Th12Zr | the Alexandria database | PBE-GGA | relaxed
# Mass density (g/cm³): 11.18
# Energy of formation from the pure elements (eV per atom): 0.033
# Total DFT energy (no corrections) (eV/atom): -7.1792
# DOS at the Fermi energy (states/eV per atom): 1.82
data_Ce3Th12Zr
_cell_length_a 4.967
_cell_length_b 4.967
_cell_length_c 19.847
_cell_angle_alpha 90.00
_cell_angle_beta 90.00
_cell_angle_gamma 90.00
_symmetry_space_group_name_H-M 'P 4/m m m'
_symmetry_Int_Tables_number 123
_symmetry_space_group_name_Hall '-P 4 2'
loop_
_atom_site_label
_atom_site_type_symbol
_atom_site_fract_x
_atom_site_fract_y
_atom_site_fract_z
Ce1 Ce 0.000 0.000 0.000
Ce2 Ce 0.000 0.000 0.253
Th1 Th 0.000 0.500 0.125
Th2 Th 0.000 0.500 0.377
Th3 Th 0.500 0.500 0.000
Th4 Th 0.500 0.500 0.249
Th5 Th 0.500 0.500 0.500
Zr1 Zr 0.000 0.000 0.500

***

# CeThZr2 | the Alexandria database | PBE-GGA | relaxed
# Mass density (g/cm³): 8.63
# Energy of formation from the pure elements (eV per atom): 0.120
# Total DFT energy (no corrections) (eV/atom): -7.4923
# DOS at the Fermi energy (states/eV per atom): 1.97
data_CeThZr2
_cell_length_a 4.626
_cell_length_b 4.626
_cell_length_c 4.988
_cell_angle_alpha 90.00
_cell_angle_beta 90.00
_cell_angle_gamma 90.00
_symmetry_space_group_name_H-M 'P 4/m m m'
_symmetry_Int_Tables_number 123
_symmetry_space_group_name_Hall '-P 4 2'
loop_
_atom_site_label
_atom_site_type_symbol
_atom_site_fract_x
_atom_site_fract_y
_atom_site_fract_z
Ce1 Ce 0.000 0.000 0.000
Th1 Th 0.500 0.500 0.000
Zr1 Zr 0.000 0.500 0.500

***

# CeThZr2 | the Alexandria database | PBE-GGA | relaxed
# Mass density (g/cm³): 8.62
# Energy of formation from the pure elements (eV per atom): 0.150
# Total DFT energy (no corrections) (eV/atom): -7.4627
# DOS at the Fermi energy (states/eV per atom): 2.09
data_CeThZr2
_cell_length_a 3.3550
_cell_length_b 3.3550
_cell_length_c 32.8835
_cell_angle_alpha 90.00
_cell_angle_beta 90.00
_cell_angle_gamma 120.00
_symmetry_space_group_name_H-M 'R 3 m'
_symmetry_Int_Tables_number 160
_symmetry_space_group_name_Hall 'R 3 -2"'
loop_
_atom_site_label
_atom_site_type_symbol
_atom_site_fract_x
_atom_site_fract_y
_atom_site_fract_z
Ce1 Ce 0.0000 0.0000 0.0000
Th1 Th 0.0000 0.0000 0.8334
Zr1 Zr 0.0000 0.0000 0.2509
Zr2 Zr 0.0000 0.0000 0.4156

***

# Ce2ThZr | the Alexandria database | PBE-GGA | relaxed
# Mass density (g/cm³): 9.13
# Energy of formation from the pure elements (eV per atom): 0.079
# Total DFT energy (no corrections) (eV/atom): -6.8802
# DOS at the Fermi energy (states/eV per atom): 2.09
data_Ce2ThZr
_cell_length_a 3.3927
_cell_length_b 3.3927
_cell_length_c 33.0505
_cell_angle_alpha 90.00
_cell_angle_beta 90.00
_cell_angle_gamma 120.00
_symmetry_space_group_name_H-M 'R -3 m'
_symmetry_Int_Tables_number 166
_symmetry_space_group_name_Hall '-R 3 2"'
loop_
_atom_site_label
_atom_site_type_symbol
_atom_site_fract_x
_atom_site_fract_y
_atom_site_fract_z
Ce1 Ce 0.0000 0.0000 0.2484
Th1 Th 0.0000 0.0000 0.0000
Zr1 Zr 0.0000 0.0000 0.5000

***

# CeThZr2 | the Alexandria database | PBE-GGA | relaxed
# Mass density (g/cm³): 8.64
# Energy of formation from the pure elements (eV per atom): 0.158
# Total DFT energy (no corrections) (eV/atom): -7.4549
# DOS at the Fermi energy (states/eV per atom): 1.97
data_CeThZr2
_cell_length_a 3.3541
_cell_length_b 3.3541
_cell_length_c 32.8307
_cell_angle_alpha 90.00
_cell_angle_beta 90.00
_cell_angle_gamma 120.00
_symmetry_space_group_name_H-M 'R -3 m'
_symmetry_Int_Tables_number 166
_symmetry_space_group_name_Hall '-R 3 2"'
loop_
_atom_site_label
_atom_site_type_symbol
_atom_site_fract_x
_atom_site_fract_y
_atom_site_fract_z
Ce1 Ce 0.0000 0.0000 0.0000
Th1 Th 0.0000 0.0000 0.5000
Zr1 Zr 0.0000 0.0000 0.2515

***

# CeTh3Zr2 | the Alexandria database | PBE-GGA | relaxed
# Mass density (g/cm³): 9.99
# Energy of formation from the pure elements (eV per atom): 0.082
# Total DFT energy (no corrections) (eV/atom): -7.4664
# DOS at the Fermi energy (states/eV per atom): 1.32
data_CeTh3Zr2
_cell_length_a 3.673
_cell_length_b 3.673
_cell_length_c 12.548
_cell_angle_alpha 90.00
_cell_angle_beta 90.00
_cell_angle_gamma 90.00
_symmetry_space_group_name_H-M 'P 4/m m m'
_symmetry_Int_Tables_number 123
_symmetry_space_group_name_Hall '-P 4 2'
loop_
_atom_site_label
_atom_site_type_symbol
_atom_site_fract_x
_atom_site_fract_y
_atom_site_fract_z
Ce1 Ce 0.000 0.000 0.000
Th1 Th 0.500 0.500 0.179
Th2 Th 0.500 0.500 0.500
Zr1 Zr 0.000 0.000 0.349